*A*
Entry from Alexandria via LeMat-Bulk: Li4Ti11O24 after structural relaxation (PBE-GGA).

Values from the calculation:
DOS at the Fermi energy = 0.0 states/eV/f.u.
M_tot = 0.000 μB/atom

Unit cell a=10.2492 b=10.2492 c=8.4988 alpha=114.13 beta=114.13 gamma=33.94
Element x y z (fractional)
1 Li 0.0837 0.0837 0.4711
2 Li 0.4127 0.4127 0.7901
3 Li 0.5873 0.5873 0.2099
4 Li 0.9163 0.9163 0.5289
5 Ti 0.0000 0.5000 0.5000
6 Ti 0.1586 0.1586 0.1604
7 Ti 0.1626 0.6804 0.1587
8 Ti 0.3196 0.8374 0.8413
9 Ti 0.3301 0.3301 0.3123
10 Ti 0.5000 0.0000 0.5000
11 Ti 0.5000 0.5000 0.5000
12 Ti 0.6699 0.6699 0.6877
13 Ti 0.6804 0.1626 0.1587
14 Ti 0.8374 0.3196 0.8413
15 Ti 0.8414 0.8414 0.8396
16 O 0.0114 0.0114 0.7478
17 O 0.0346 0.4670 0.2720
18 O 0.1494 0.6689 0.9276
19 O 0.1546 0.1546 0.9249
20 O 0.1734 0.1734 0.4138
21 O 0.1986 0.6355 0.4046
22 O 0.3231 0.3231 0.5656
23 O 0.3311 0.8506 0.0724
24 O 0.3451 0.3451 0.1131
25 O 0.3645 0.8014 0.5954
26 O 0.4670 0.0346 0.2720
27 O 0.4944 0.4944 0.2569
28 O 0.5056 0.5056 0.7431
29 O 0.5330 0.9654 0.7280
30 O 0.6355 0.1986 0.4046
31 O 0.6549 0.6549 0.8869
32 O 0.6689 0.1494 0.9276
33 O 0.6769 0.6769 0.4344
34 O 0.8014 0.3645 0.5954
35 O 0.8266 0.8266 0.5862
36 O 0.8454 0.8454 0.0751
37 O 0.8506 0.3311 0.0724
38 O 0.9654 0.5330 0.7280
39 O 0.9886 0.9886 0.2522

***

*B*
Entry from Alexandria via LeMat-Bulk: Li4Ti11O24 after structural relaxation (PBE-GGA).

Values from the calculation:
DOS at the Fermi energy = 0.0 states/eV/f.u.
M_tot = 0.000 μB/atom

Unit cell a=5.0628 b=8.9080 c=9.6305 alpha=90.15 beta=90.03 gamma=90.07
Element x y z (fractional)
1 Li 0.0000 0.0000 0.0000
2 Li 0.0017 0.6681 0.9933
3 Li 0.5373 0.8324 0.1003
4 Li 0.6370 0.6575 0.4915
5 Ti 0.0088 0.9918 0.3124
6 Ti 0.0116 0.3304 0.3155
7 Ti 0.0637 0.6673 0.3022
8 Ti 0.0853 0.8352 0.5943
9 Ti 0.1111 0.4954 0.5915
10 Ti 0.1219 0.1633 0.5883
11 Ti 0.5126 0.1608 0.0965
12 Ti 0.5421 0.5025 0.0945
13 Ti 0.5773 0.6610 0.8206
14 Ti 0.5885 0.9899 0.8171
15 Ti 0.6286 0.3224 0.8168
16 O 0.2182 0.8364 0.2261
17 O 0.2377 0.1650 0.2257
18 O 0.2555 0.9952 0.4894
19 O 0.2582 0.4975 0.2283
20 O 0.2633 0.3331 0.4889
21 O 0.2679 0.6665 0.4874
22 O 0.3686 0.0102 0.9782
23 O 0.3692 0.6542 0.9824
24 O 0.3842 0.8305 0.7261
25 O 0.3988 0.3316 0.9862
26 O 0.4034 0.4987 0.7215
27 O 0.4117 0.1692 0.7222
28 O 0.7441 0.3304 0.1796
29 O 0.7626 0.0139 0.1716
30 O 0.7771 0.5058 0.9126
31 O 0.7793 0.8319 0.9040
32 O 0.7799 0.1585 0.9118
33 O 0.7826 0.6465 0.1697
34 O 0.8604 0.8252 0.4165
35 O 0.8755 0.1680 0.4184
36 O 0.8758 0.5001 0.4170
37 O 0.8786 0.6638 0.6649
38 O 0.8997 0.0006 0.6768
39 O 0.9108 0.3330 0.6818

***

*C*
Entry from Alexandria via LeMat-Bulk: Li4Ti11O24 after structural relaxation (PBE-GGA).

Values from the calculation:
DOS at the Fermi energy = 0.0 states/eV/f.u.
M_tot = 0.000 μB/atom

Unit cell a=10.2922 b=10.2922 c=8.4997 alpha=114.12 beta=114.12 gamma=33.85
Element x y z (fractional)
1 Li 0.0000 0.0000 0.0000
2 Li 0.1746 0.1746 0.4131
3 Li 0.5058 0.5058 0.7394
4 Li 0.5915 0.5915 0.2235
5 Ti 0.0769 0.5884 0.7016
6 Ti 0.0926 0.0926 0.6942
7 Ti 0.2584 0.2584 0.9015
8 Ti 0.2660 0.7385 0.3643
9 Ti 0.4186 0.9113 0.0404
10 Ti 0.4268 0.4268 0.0300
11 Ti 0.5884 0.0769 0.7016
12 Ti 0.7385 0.2660 0.3643
13 Ti 0.7530 0.7530 0.3555
14 Ti 0.9113 0.4186 0.0404
15 Ti 0.9224 0.9224 0.5379
16 O 0.0575 0.6236 0.4807
17 O 0.0812 0.0812 0.4619
18 O 0.0952 0.0952 0.9600
19 O 0.1233 0.5529 0.9365
20 O 0.2256 0.7881 0.6161
21 O 0.2444 0.2444 0.1010
22 O 0.2643 0.2643 0.6412
23 O 0.2645 0.7323 0.1369
24 O 0.3859 0.9579 0.8106
25 O 0.4152 0.4152 0.7951
26 O 0.4291 0.4291 0.2818
27 O 0.4474 0.9105 0.2782
28 O 0.5529 0.1233 0.9365
29 O 0.5710 0.5710 0.4431
30 O 0.5977 0.5977 0.9667
31 O 0.6236 0.0575 0.4807
32 O 0.7323 0.2645 0.1369
33 O 0.7434 0.7434 0.1260
34 O 0.7639 0.7639 0.6200
35 O 0.7881 0.2256 0.6161
36 O 0.9105 0.4474 0.2782
37 O 0.9110 0.9110 0.7742
38 O 0.9311 0.9311 0.3264
39 O 0.9579 0.3859 0.8106

***

Stability ranking, top and bottom: *B* is the most stable and *C* is the least stable.

***

*A*
Entry from Alexandria via LeMat-Bulk: LiTi3O6 after structural relaxation (PBE-GGA).

Values from the calculation:
DOS at the Fermi energy = 4.8 states/eV/f.u.
M_tot = 0.100 μB/atom

Unit cell a=7.2702 b=7.2702 c=5.0031 alpha=91.82 beta=91.82 gamma=23.53
Element x y z (fractional)
1 Li 0.0000 0.0000 0.0000
2 Ti 0.1287 0.1287 0.4203
3 Ti 0.4335 0.4335 0.4604
4 Ti 0.7786 0.7786 0.9360
5 O 0.0097 0.0097 0.6305
6 O 0.2155 0.2155 0.1213
7 O 0.3497 0.3497 0.7542
8 O 0.5524 0.5524 0.2265
9 O 0.6854 0.6854 0.6255
10 O 0.8828 0.8828 0.2332

***

*B*
Entry from Alexandria via LeMat-Bulk: LiTi3O6 after structural relaxation (PBE-GGA).

Values from the calculation:
DOS at the Fermi energy = 3.9 states/eV/f.u.
M_tot = 0.065 μB/atom

Unit cell a=9.5665 b=8.8145 c=5.4243 alpha=80.61 beta=65.37 gamma=34.02
Element x y z (fractional)
1 Li 0.1250 0.1250 0.1250
2 Li 0.8750 0.8750 0.8750
3 Ti 0.0439 0.0439 0.7061
4 Ti 0.2939 0.2939 0.9561
5 Ti 0.3750 0.3750 0.3750
6 Ti 0.6250 0.6250 0.6250
7 Ti 0.7061 0.7061 0.0439
8 Ti 0.9561 0.9561 0.2939
9 O 0.0728 0.5162 0.7488
10 O 0.1584 0.5916 0.1584
11 O 0.1622 0.7488 0.5162
12 O 0.2512 0.8378 0.9272
13 O 0.4084 0.8416 0.4084
14 O 0.4838 0.9272 0.8378
15 O 0.5162 0.0728 0.1622
16 O 0.5916 0.1584 0.5916
17 O 0.7488 0.1622 0.0728
18 O 0.8378 0.2512 0.4838
19 O 0.8416 0.4084 0.8416
20 O 0.9272 0.4838 0.2512

***

Stability ranking, top and bottom: *A* is the most stable and *B* is the least stable.

***

*A*
Entry from Alexandria via LeMat-Bulk: LiTi2O2 after structural relaxation (PBE-GGA).

Values from the calculation:
DOS at the Fermi energy = 4.2 states/eV/f.u.
M_tot = 0.000 μB/atom

Unit cell a=5.2722 b=5.2722 c=5.2722 alpha=138.92 beta=138.92 gamma=59.49
Element x y z (fractional)
1 Li 0.0000 0.0000 0.0000
2 Ti 0.3455 0.3455 0.0000
3 Ti 0.6545 0.6545 0.0000
4 O 0.2500 0.7500 0.5000
5 O 0.7500 0.2500 0.5000

***

*B*
Entry from Alexandria via LeMat-Bulk: LiTi2O2 after structural relaxation (PBE-GGA).

Values from the calculation:
DOS at the Fermi energy = 5.8 states/eV/f.u.
M_tot = 0.000 μB/atom

Unit cell a=6.2452 b=6.2452 c=2.6759 alpha=90.00 beta=90.00 gamma=90.00
Element x y z (fractional)
1 Li 0.0000 0.0000 0.0000
2 Li 0.5000 0.5000 0.0000
3 Ti 0.1549 0.3451 0.0000
4 Ti 0.3451 0.8451 0.0000
5 Ti 0.6549 0.1549 0.0000
6 Ti 0.8451 0.6549 0.0000
7 O 0.1407 0.6407 0.5000
8 O 0.3593 0.1407 0.5000
9 O 0.6407 0.8593 0.5000
10 O 0.8593 0.3593 0.5000

***

Stability ranking, top and bottom: *A* is the most stable and *B* is the least stable.